# Zr3Hg2Au, relaxed, DFT PBE
data_Zr3Hg2Au
_symmetry_space_group_name_H-M 'P 1'
_symmetry_Int_Tables_number 1
_cell_length_a 3.188
_cell_length_b 3.188
_cell_length_c 12.433
_cell_angle_alpha 90.00
_cell_angle_beta 90.00
_cell_angle_gamma 90.00
loop_
_symmetry_equiv_pos_as_xyz
'x,y,z'
loop_
_atom_site_label
_atom_site_type_symbol
_atom_site_fract_x
_atom_site_fract_y
_atom_site_fract_z
Zr1 Zr 0.000 0.000 0.000
Zr2 Zr 0.000 0.000 0.659
Zr3 Zr 0.000 0.000 0.341
Hg1 Hg 0.500 0.500 0.830
Hg2 Hg 0.500 0.500 0.170
Au1 Au 0.500 0.500 0.500
# energy: -5.20 eV per atom
# space-group type: P4/mmm, No. 123
# formation enthalpy at 0 K: -0.28 eV per atom

---

# Zr2HgAu2, relaxed, DFT PBE
data_Zr2HgAu2
_symmetry_space_group_name_H-M 'P 1'
_symmetry_Int_Tables_number 1
_cell_length_a 3.860
_cell_length_b 3.860
_cell_length_c 7.992
_cell_angle_alpha 76.03
_cell_angle_beta 76.03
_cell_angle_gamma 90.00
loop_
_symmetry_equiv_pos_as_xyz
'x,y,z'
loop_
_atom_site_label
_atom_site_type_symbol
_atom_site_fract_x
_atom_site_fract_y
_atom_site_fract_z
Au1 Au 0.750 0.250 0.500
Au2 Au 0.250 0.750 0.500
Hg1 Hg 0.000 0.000 0.000
Zr1 Zr 0.397 0.397 0.205
Zr2 Zr 0.603 0.603 0.795
# energy: -4.79 eV per atom
# space-group type: I4/mmm, No. 139
# formation enthalpy at 0 K: 0.00 eV per atom

---

# Zr2Hg3Au, relaxed, DFT PBE
data_Zr2Hg3Au
_symmetry_space_group_name_H-M 'P 1'
_symmetry_Int_Tables_number 1
_cell_length_a 3.103
_cell_length_b 4.830
_cell_length_c 8.375
_cell_angle_alpha 90.00
_cell_angle_beta 90.00
_cell_angle_gamma 90.00
loop_
_symmetry_equiv_pos_as_xyz
'x,y,z'
loop_
_atom_site_label
_atom_site_type_symbol
_atom_site_fract_x
_atom_site_fract_y
_atom_site_fract_z
Zr1 Zr 0.000 0.500 0.012
Zr2 Zr 0.000 0.000 0.489
Hg1 Hg 0.500 0.000 0.832
Hg2 Hg 0.500 0.000 0.168
Hg3 Hg 0.500 0.500 0.665
Au1 Au 0.500 0.500 0.334
# energy: -3.71 eV per atom
# space-group type: Pmm2, No. 25
# formation enthalpy at 0 K: -0.17 eV per atom